[1]
{
  "formula": "Sr3NbGa",
  "functional": "PBE",
  "state": "relaxed",
  "rho_g_cm3": 3.50,
  "formation_enthalpy_0k_ev_per_atom": 0.901,
  "space_group": "No. 221",
  "cell": [[-2.133, 3.148, 4.466], [-3.986, -4.176, 1.039], [3.737, -2.657, 3.658]],
  "species": ["Sr", "Ga", "Sr", "Nb", "Sr"],
  "frac_coords": [[0.500, 0.000, 0.000], [0.500, 0.500, 0.500], [0.000, 0.000, 0.500], [0.000, 0.000, 0.000], [0.000, 0.500, 0.000]]
}

---

[2]
{
  "formula": "Be2CuPbF8",
  "functional": "PBE",
  "state": "relaxed",
  "rho_g_cm3": 4.98,
  "space_group": "No. 12",
  "dft_energy_ev_per_atom": -5.082,
  "cell": [[-3.848, -2.845, 1.601], [1.298, -4.360, 3.325], [-1.001, 0.608, 6.624]],
  "species": ["F", "F", "F", "Be", "F", "Pb", "F", "Cu", "F", "Be", "F", "F"],
  "frac_coords": [[0.673, 0.565, 0.089], [0.136, 0.397, 0.331], [0.624, 0.013, 0.222], [0.703, 0.759, 0.835], [0.141, 0.013, 0.222], [0.500, 0.500, 0.500], [0.864, 0.603, 0.669], [0.000, 0.000, 0.000], [0.376, 0.987, 0.778], [0.297, 0.241, 0.165], [0.327, 0.435, 0.911], [0.859, 0.987, 0.778]]
}

---

[3]
{
  "formula": "RbAlF4",
  "functional": "PBE",
  "state": "relaxed",
  "rho_g_cm3": 3.60,
  "space_group": "No. 127",
  "dft_energy_ev_per_atom": -5.391,
  "cell": [[5.211, 0.000, 0.000], [0.000, 5.211, 0.000], [0.000, 0.000, 6.406]],
  "species": ["Rb", "Al", "Rb", "F", "F", "Al", "F", "F", "F", "F", "F", "F"],
  "frac_coords": [[0.000, 0.500, 0.500], [0.000, 0.000, 0.000], [0.500, 0.000, 0.500], [0.000, 0.000, 0.721], [0.000, 0.000, 0.279], [0.500, 0.500, 0.000], [0.785, 0.285, 0.000], [0.715, 0.785, 0.000], [0.500, 0.500, 0.721], [0.285, 0.215, 0.000], [0.500, 0.500, 0.279], [0.215, 0.715, 0.000]]
}

---

In μB/atom, the total magnetic moment values for the records above are, in order, 0.0000 0.0767 0.0000.